# BiMoO2, optimized geometry, DFT PBE+U
# Mass density = 8.3 g/cm3
# Spin magnetization = 14.19 Bohr magnetons per cell
# Calculated total energy = -5.840 eV per atom
data_BiMoO2
_chemical_formula_sum 'Bi4 Mo4 O8'
_cell_length_a 7.796
_cell_length_b 7.796
_cell_length_c 7.796
_cell_angle_alpha 130.33
_cell_angle_beta 130.33
_cell_angle_gamma 72.88
_space_group_name_H-M_alt 'P 1'
_space_group_IT_number 1
loop_
_space_group_symop_operation_xyz
'x,y,z'
loop_
_atom_site_label
_atom_site_type_symbol
_atom_site_fract_x
_atom_site_fract_y
_atom_site_fract_z
Bi1 Bi 0.000 0.000 0.000
Bi2 Bi 0.000 0.000 0.500
Bi3 Bi 0.000 0.500 0.000
Bi4 Bi 0.500 0.000 0.500
Mo1 Mo 0.000 0.500 0.500
Mo2 Mo 0.500 0.000 0.000
Mo3 Mo 0.500 0.500 0.000
Mo4 Mo 0.500 0.500 0.500
O1 O 0.195 0.238 0.544
O2 O 0.195 0.651 0.956
O3 O 0.238 0.195 0.044
O4 O 0.349 0.805 0.544
O5 O 0.651 0.195 0.456
O6 O 0.762 0.805 0.956
O7 O 0.805 0.349 0.044
O8 O 0.805 0.762 0.456